1.
Entry from the Alexandria database: crystalline K2AuI4 at its relaxed geometry (PBE).

Results
The calculated total energy is -35.038 eV per cell. For the uncorrected formation energy, the calculation gives -0.835 eV per atom. The value obtained for the excess energy over the best structure of this formula in the dataset is 0.000 eV per atom.

```
K2AuI4
1.0
-2.944 -4.464 -7.677
0.438 -5.764 3.184
-8.439 2.236 5.207
K Au I
4 2 8
Direct
0.723 0.750 0.050 K
0.277 0.250 0.950 K
0.249 0.250 0.434 K
0.751 0.750 0.566 K
0.110 0.750 0.156 Au
0.890 0.250 0.844 Au
0.506 0.500 0.260 I
0.116 0.750 0.902 I
0.884 0.250 0.098 I
0.506 0.000 0.260 I
0.913 0.250 0.595 I
0.494 0.000 0.740 I
0.494 0.500 0.740 I
0.087 0.750 0.405 I
```

2.
Entry from the Alexandria database: crystalline PrNd6Cd at its relaxed geometry (PBE).

Results
The calculated total energy is -34.584 eV per cell. The value obtained for the excess energy over the best structure of this formula in the dataset is 0.000 eV per atom.

```
PrNd6Cd
1.0
4.838 0.000 1.457
-0.439 4.818 1.457
-0.673 -0.738 10.996
Pr Nd Cd
1 6 1
Direct
0.500 0.500 0.000 Pr
0.748 0.748 0.504 Nd
0.622 0.122 0.756 Nd
0.122 0.622 0.756 Nd
0.378 0.878 0.244 Nd
0.252 0.252 0.496 Nd
0.878 0.378 0.244 Nd
0.000 0.000 0.000 Cd
```

3.
Entry from the Alexandria database: crystalline NaGa3C at its relaxed geometry (PBE).

Results
The calculated total energy is -9.956 eV per cell. The value obtained for the excess energy over the best structure of this formula in the dataset is 1.227 eV per atom.

```
NaGa3C
1.0
5.205 0.000 0.000
0.000 5.205 0.000
0.000 0.000 5.205
Na C Ga
1 1 3
Direct
0.000 0.000 0.000 Na
0.500 0.500 0.500 C
0.000 0.500 0.000 Ga
0.000 0.000 0.500 Ga
0.500 0.000 0.000 Ga
```

no.,M_tot (μB/f.u.)
1,0.00
2,0.00
3,1.33